## TmPO4F (PBE)

Data for crystalline TmPO4F at its relaxed geometry.

Geometry as extended XYZ:
```
14
Lattice="4.525 -3.471 0.000 4.525 3.471 0.000 -1.828 0.000 6.172" Properties=species:S:1:pos:R:3 pbc="T T T"
Tm 1.652 0.000 0.689
Tm 5.571 0.000 5.482
P 1.882 0.000 4.489
P 5.340 0.000 1.682
O 1.204 1.219 5.174
O 1.661 0.000 2.981
O 3.831 0.000 1.398
O 1.204 -1.219 5.174
O 6.019 1.219 0.998
O 3.392 0.000 4.773
O 5.562 0.000 3.191
O 6.019 -1.219 0.998
F -1.359 0.000 5.031
F 8.582 0.000 1.141
```

Values from the calculation:
V (Å³/atom): 13.850
VASP energy (eV per formula unit): -50.8
ΔE_f (raw) (meV per atom): -2744